VASP calculation (PBE-GGA) on TmScCd3 after structural relaxation.

Formation energy ... 0.360 eV/atom
Calculated volume ... 335.5 Å³ per cell
Density ... 5.46 g/cm³
Symmetry ... I-4m2 (119)

a b c (Å): 11.5244 11.5244 11.5244
angles (deg): 152.06 152.06 39.93
With the nearest neighbours (Å) after each atom.
Sites, in units of the cell vectors:
1 Tm 0.0000 0.0000 0.0000  8 Cd 2.92-3.05
2 Tm 0.7500 0.2500 0.5000  4 Cd 3.04
3 Sc 0.4232 0.4232 0.0000  2 Cd 2.89
4 Sc 0.5768 0.5768 0.0000  2 Cd 2.89
5 Cd 0.0404 0.5404 0.5000  2 Sc 2.89, 2 Tm 2.92
6 Cd 0.3743 0.1256 0.2487  2 Cd 2.77-2.80, 2 Tm 3.04-3.05
7 Cd 0.4596 0.9596 0.5000  2 Sc 2.89, 2 Tm 2.92
8 Cd 0.8744 0.1230 0.2487  2 Cd 2.77-2.80, 2 Tm 3.04-3.05
9 Cd 0.8744 0.6257 0.7513  2 Cd 2.77-2.80, 2 Tm 3.04-3.05
10 Cd 0.8770 0.1256 0.7513  2 Cd 2.77-2.80, 2 Tm 3.04-3.05